DFT (PBE with a Hubbard U) results for a geometry-optimized OsW2F2 structure.

a = 4.156 Å, b = 4.156 Å, c = 4.955 Å
α = 65.21°, β = 65.21°, γ = 90.00°
Each line ends with the local moment (μB).
Atoms (fractional coordinates):
F  0.632  0.632  0.736  -0.01
Os  0.000  0.000  0.000  -0.33
F  0.368  0.368  0.264  -0.01
W  0.750  0.250  0.500  0.24
W  0.250  0.750  0.500  0.24

Values from the calculation:
ΔE to the lowest computed polymorph: 361 meV/atom
uncorrected energy: -0.39125 Ry per atom